--- a ---
## CeB6 (PBE-GGA)

Data for an optimized crystal structure of CeB6.

Computed properties:
The total moment comes out at 0.00 μB/atom.

Cell lengths 5.0239, 5.0239, 5.0239 Å; angles 90.00, 90.00, 90.00 degrees
Closest atoms and distances in Å follow each position.
Positions (direct):
1 Ce 0.0000 0.0000 0.0000  24 B 2.81
2 Ce 0.5000 0.5000 0.5000  24 B 2.81
3 B 0.0000 0.2500 0.5000  4 B 1.78
4 B 0.0000 0.5000 0.2500  4 B 1.78
5 B 0.0000 0.5000 0.7500  4 B 1.78
6 B 0.0000 0.7500 0.5000  4 B 1.78
7 B 0.2500 0.0000 0.5000  4 B 1.78
8 B 0.2500 0.5000 0.0000  4 B 1.78
9 B 0.5000 0.0000 0.2500  4 B 1.78
10 B 0.5000 0.0000 0.7500  4 B 1.78
11 B 0.5000 0.2500 0.0000  4 B 1.78
12 B 0.5000 0.7500 0.0000  4 B 1.78
13 B 0.7500 0.0000 0.5000  4 B 1.78
14 B 0.7500 0.5000 0.0000  4 B 1.78

--- b ---
## CeB6 (PBE-GGA)

Data for an optimized crystal structure of CeB6.

Computed properties:
The total moment comes out at 0.10 μB/atom.

Cell lengths 4.1145, 4.1145, 4.1145 Å; angles 90.00, 90.00, 90.00 degrees
Closest atoms and distances in Å follow each position.
Positions (direct):
1 Ce 0.0000 0.0000 0.0000  24 B 3.02
2 B 0.1986 0.5000 0.5000  5 B 1.63-1.75
3 B 0.5000 0.1986 0.5000  5 B 1.63-1.75
4 B 0.5000 0.5000 0.1986  5 B 1.63-1.75
5 B 0.5000 0.5000 0.8014  5 B 1.63-1.75
6 B 0.5000 0.8014 0.5000  5 B 1.63-1.75
7 B 0.8014 0.5000 0.5000  5 B 1.63-1.75

Which of them is the most stable, and which is the least stable? b and a, in that order.